## a
# Mg2AgW (PBE-GGA, optimized geometry)
data_Mg2AgW
_symmetry_space_group_name_H-M 'I m m 2'
_symmetry_Int_Tables_number 44
_symmetry_space_group_name_Hall 'I 2 -2'
_cell_length_a 2.832
_cell_length_b 4.988
_cell_length_c 10.321
_cell_angle_alpha 90.00
_cell_angle_beta 90.00
_cell_angle_gamma 90.00
loop_
_atom_site_label
_atom_site_fract_x
_atom_site_fract_y
_atom_site_fract_z
_atom_site_occupancy
Mg1 0.000 0.000 0.000 1
Mg2 0.000 0.500 0.228 1
Ag1 0.000 0.000 0.490 1
W1 0.000 0.500 0.750 1
# Magnetization   0.000 μB per formula unit

=====

## b
# Mg2AgW (PBE-GGA, optimized geometry)
data_Mg2AgW
_symmetry_space_group_name_H-M 'C 1 2/m 1'
_symmetry_Int_Tables_number 12
_symmetry_space_group_name_Hall '-C 2y'
_cell_length_a 9.719
_cell_length_b 2.808
_cell_length_c 5.347
_cell_angle_alpha 90.00
_cell_angle_beta 101.29
_cell_angle_gamma 90.00
loop_
_atom_site_label
_atom_site_fract_x
_atom_site_fract_y
_atom_site_fract_z
_atom_site_occupancy
Mg1 0.245 0.000 0.260 1
Ag1 0.000 0.500 0.000 1
W1 0.000 0.000 0.500 1
# Magnetization   0.176 μB per formula unit

=====

Most stable one: b, least stable one: a.

=====

## a
# Mg2AgW (PBE-GGA, optimized geometry)
data_Mg2AgW
_symmetry_space_group_name_H-M 'I 4/m m m'
_symmetry_Int_Tables_number 139
_symmetry_space_group_name_Hall '-I 4 2'
_cell_length_a 4.191
_cell_length_b 4.191
_cell_length_c 8.186
_cell_angle_alpha 90.00
_cell_angle_beta 90.00
_cell_angle_gamma 90.00
loop_
_atom_site_label
_atom_site_fract_x
_atom_site_fract_y
_atom_site_fract_z
_atom_site_occupancy
Mg1 0.000 0.500 0.250 1
Ag1 0.000 0.000 0.000 1
W1 0.000 0.000 0.500 1
# Magnetization   1.056 μB per formula unit

=====

## b
# Mg2AgW (PBE-GGA, optimized geometry)
data_Mg2AgW
_symmetry_space_group_name_H-M 'P m m 2'
_symmetry_Int_Tables_number 25
_symmetry_space_group_name_Hall 'P 2 -2'
_cell_length_a 2.752
_cell_length_b 4.941
_cell_length_c 5.298
_cell_angle_alpha 90.00
_cell_angle_beta 90.00
_cell_angle_gamma 90.00
loop_
_atom_site_label
_atom_site_fract_x
_atom_site_fract_y
_atom_site_fract_z
_atom_site_occupancy
Mg1 0.000 0.000 0.000 1
Mg2 0.000 0.500 0.335 1
Ag1 0.500 0.000 0.526 1
W1 0.500 0.500 0.835 1
# Magnetization   0.000 μB per formula unit

=====

## c
# Mg2AgW (PBE-GGA, optimized geometry)
data_Mg2AgW
_symmetry_space_group_name_H-M 'C 1 m 1'
_symmetry_Int_Tables_number 8
_symmetry_space_group_name_Hall 'C -2y'
_cell_length_a 10.154
_cell_length_b 2.770
_cell_length_c 5.227
_cell_angle_alpha 90.00
_cell_angle_beta 100.28
_cell_angle_gamma 90.00
loop_
_atom_site_label
_atom_site_fract_x
_atom_site_fract_y
_atom_site_fract_z
_atom_site_occupancy
Mg1 0.000 0.000 0.000 1
Mg2 0.239 0.000 0.725 1
Ag1 0.496 0.000 0.476 1
W1 0.250 0.500 0.228 1
# Magnetization   0.000 μB per formula unit

=====

## d
# Mg2AgW (PBE-GGA, optimized geometry)
data_Mg2AgW
_symmetry_space_group_name_H-M 'R -3 m'
_symmetry_Int_Tables_number 166
_symmetry_space_group_name_Hall '-R 3 2"'
_cell_length_a 2.9301
_cell_length_b 2.9301
_cell_length_c 28.8183
_cell_angle_alpha 90.00
_cell_angle_beta 90.00
_cell_angle_gamma 120.00
loop_
_atom_site_label
_atom_site_fract_x
_atom_site_fract_y
_atom_site_fract_z
_atom_site_occupancy
Mg1 0.0000 0.0000 0.2493 1
Ag1 0.0000 0.0000 0.5000 1
W1 0.0000 0.0000 0.0000 1
# Magnetization   0.000 μB per formula unit

=====

Most stable one: d, least stable one: a.

=====

## a
# Mg2AgW (PBE-GGA, optimized geometry)
data_Mg2AgW
_symmetry_space_group_name_H-M 'I -4 2 d'
_symmetry_Int_Tables_number 122
_symmetry_space_group_name_Hall 'I -4 2bw'
_cell_length_a 7.323
_cell_length_b 7.323
_cell_length_c 5.696
_cell_angle_alpha 90.00
_cell_angle_beta 90.00
_cell_angle_gamma 90.00
loop_
_atom_site_label
_atom_site_fract_x
_atom_site_fract_y
_atom_site_fract_z
_atom_site_occupancy
Mg1 0.231 0.250 0.125 1
Ag1 0.000 0.000 0.000 1
W1 0.000 0.000 0.500 1
# Magnetization   0.149 μB per formula unit

=====

## b
# Mg2AgW (PBE-GGA, optimized geometry)
data_Mg2AgW
_symmetry_space_group_name_H-M 'F -4 3 m'
_symmetry_Int_Tables_number 216
_symmetry_space_group_name_Hall 'F -4 2 3'
_cell_length_a 6.646
_cell_length_b 6.646
_cell_length_c 6.646
_cell_angle_alpha 90.00
_cell_angle_beta 90.00
_cell_angle_gamma 90.00
loop_
_atom_site_label
_atom_site_fract_x
_atom_site_fract_y
_atom_site_fract_z
_atom_site_occupancy
Mg1 0.000 0.000 0.000 1
Mg2 0.250 0.250 0.250 1
Ag1 0.000 0.000 0.500 1
W1 0.250 0.250 0.750 1
# Magnetization   2.591 μB per formula unit

=====

## c
# Mg2AgW (PBE-GGA, optimized geometry)
data_Mg2AgW
_symmetry_space_group_name_H-M 'P m m m'
_symmetry_Int_Tables_number 47
_symmetry_space_group_name_Hall '-P 2 2'
_cell_length_a 2.966
_cell_length_b 4.786
_cell_length_c 5.038
_cell_angle_alpha 90.00
_cell_angle_beta 90.00
_cell_angle_gamma 90.00
loop_
_atom_site_label
_atom_site_fract_x
_atom_site_fract_y
_atom_site_fract_z
_atom_site_occupancy
Mg1 0.000 0.000 0.000 1
Mg2 0.500 0.000 0.500 1
Ag1 0.000 0.500 0.500 1
W1 0.500 0.500 0.000 1
# Magnetization   0.310 μB per formula unit

=====

## d
# Mg2AgW (PBE-GGA, optimized geometry)
data_Mg2AgW
_symmetry_space_group_name_H-M 'P m m m'
_symmetry_Int_Tables_number 47
_symmetry_space_group_name_Hall '-P 2 2'
_cell_length_a 2.831
_cell_length_b 4.131
_cell_length_c 6.083
_cell_angle_alpha 90.00
_cell_angle_beta 90.00
_cell_angle_gamma 90.00
loop_
_atom_site_label
_atom_site_fract_x
_atom_site_fract_y
_atom_site_fract_z
_atom_site_occupancy
Mg1 0.000 0.000 0.245 1
Ag1 0.500 0.500 0.500 1
W1 0.500 0.500 0.000 1
# Magnetization   0.000 μB per formula unit

=====

Most stable one: d, least stable one: a.

=====

## a
# Mg2AgW (PBE-GGA, optimized geometry)
data_Mg2AgW
_symmetry_space_group_name_H-M 'P 4/m m m'
_symmetry_Int_Tables_number 123
_symmetry_space_group_name_Hall '-P 4 2'
_cell_length_a 2.814
_cell_length_b 2.814
_cell_length_c 8.932
_cell_angle_alpha 90.00
_cell_angle_beta 90.00
_cell_angle_gamma 90.00
loop_
_atom_site_label
_atom_site_fract_x
_atom_site_fract_y
_atom_site_fract_z
_atom_site_occupancy
Mg1 0.000 0.000 0.247 1
Ag1 0.500 0.500 0.500 1
W1 0.500 0.500 0.000 1
# Magnetization   0.000 μB per formula unit

=====

## b
# Mg2AgW (PBE-GGA, optimized geometry)
data_Mg2AgW
_symmetry_space_group_name_H-M 'P 4/m m m'
_symmetry_Int_Tables_number 123
_symmetry_space_group_name_Hall '-P 4 2'
_cell_length_a 4.227
_cell_length_b 4.227
_cell_length_c 3.941
_cell_angle_alpha 90.00
_cell_angle_beta 90.00
_cell_angle_gamma 90.00
loop_
_atom_site_label
_atom_site_fract_x
_atom_site_fract_y
_atom_site_fract_z
_atom_site_occupancy
Mg1 0.000 0.500 0.000 1
Ag1 0.000 0.000 0.500 1
W1 0.500 0.500 0.500 1
# Magnetization   0.294 μB per formula unit

=====

## c
# Mg2AgW (PBE-GGA, optimized geometry)
data_Mg2AgW
_symmetry_space_group_name_H-M 'P 1 2/m 1'
_symmetry_Int_Tables_number 10
_symmetry_space_group_name_Hall '-P 2y'
_cell_length_a 2.757
_cell_length_b 4.573
_cell_length_c 5.750
_cell_angle_alpha 90.00
_cell_angle_beta 100.16
_cell_angle_gamma 90.00
loop_
_atom_site_label
_atom_site_fract_x
_atom_site_fract_y
_atom_site_fract_z
_atom_site_occupancy
Mg1 0.186 0.000 0.241 1
Ag1 0.000 0.500 0.500 1
W1 0.500 0.500 0.000 1
# Magnetization   0.000 μB per formula unit

=====

## d
# Mg2AgW (PBE-GGA, optimized geometry)
data_Mg2AgW
_symmetry_space_group_name_H-M 'I m m m'
_symmetry_Int_Tables_number 71
_symmetry_space_group_name_Hall '-I 2 2'
_cell_length_a 2.857
_cell_length_b 5.121
_cell_length_c 9.772
_cell_angle_alpha 90.00
_cell_angle_beta 90.00
_cell_angle_gamma 90.00
loop_
_atom_site_label
_atom_site_fract_x
_atom_site_fract_y
_atom_site_fract_z
_atom_site_occupancy
Mg1 0.000 0.000 0.240 1
Ag1 0.000 0.500 0.500 1
W1 0.000 0.500 0.000 1
# Magnetization   0.002 μB per formula unit

=====

Most stable one: a, least stable one: b.